1.
# RbTcO4

A geometry-optimized RbTcO4 structure (GGA-PBE, Alexandria).

Structure (POSCAR):
```
RbTcO4
1.0
7.846 0.163 0.000
-1.984 7.768 0.000
0.000 0.000 8.313
O Tc Rb
16 4 4
direct
0.289 0.972 0.107
0.464 0.256 0.493
0.536 0.744 0.507
0.991 0.126 0.672
0.509 0.374 0.172
0.036 0.244 0.993
0.711 0.028 0.893
0.803 0.370 0.785
0.789 0.472 0.393
0.197 0.630 0.215
0.211 0.528 0.607
0.697 0.130 0.285
0.964 0.756 0.007
0.303 0.870 0.715
0.009 0.874 0.328
0.491 0.626 0.828
0.886 0.193 0.836
0.114 0.807 0.164
0.614 0.307 0.336
0.386 0.693 0.664
0.103 0.274 0.346
0.397 0.226 0.846
0.897 0.726 0.654
0.603 0.774 0.154
```

## Properties
Space group: No. 14
Energy relative to the elements, uncorrected, meV per atom: -1689

---

2.
# LaHoAl

A geometry-optimized LaHoAl structure (GGA-PBE, Alexandria).

Structure (POSCAR):
```
LaHoAl
1.0
-0.086 -3.612 -0.806
3.119 0.820 -4.008
1.982 -1.078 4.623
La Ho Al
1 1 1
direct
0.981 0.000 0.000
0.410 0.333 0.667
0.610 0.667 0.333
```

## Properties
Space group: No. 156
Energy relative to the elements, eV/atom: -0.1440

---

3.
# CrReHg2

A geometry-optimized CrReHg2 structure (GGA-PBE, Alexandria).

Structure (POSCAR):
```
CrReHg2
1.0
-3.234 -2.126 2.424
-3.914 2.146 0.961
-3.879 -1.310 -2.022
Hg Cr Re
2 1 1
direct
0.250 0.250 0.250
0.750 0.750 0.750
0.000 0.000 0.000
0.500 0.500 0.500
```

## Properties
Space group: No. 225
Energy relative to the elements, eV/atom: 1.1179

---

4.
# BaCuTe2I

A geometry-optimized BaCuTe2I structure (GGA-PBE, Alexandria).

Structure (POSCAR):
```
BaCuTe2I
1.0
-4.634 -1.179 -1.930
2.262 -2.423 -3.950
-0.005 -5.405 3.313
Te Cu Ba I
2 1 1 1
direct
0.500 0.000 0.000
0.000 0.500 0.000
0.000 0.000 0.000
0.500 0.500 0.500
0.000 0.000 0.500
```

## Properties
Space group: No. 123
Energy relative to the elements, uncorrected, meV per atom: -671